Record 1
Below is a geometry-optimized Cs3BeI structure, with properties calculated at the PBE-GGA level.

Output
offset from the most stable computed form: 0.00 kcal/mol of atoms

POSCAR file:
```
Cs3BeI
1.0
6.859 0.000 0.000
0.000 6.859 0.000
0.000 0.000 6.859
Be Cs I
1 3 1
Cartesian
0.000 0.000 0.000
0.000 3.429 0.000
0.000 0.000 3.429
3.429 0.000 0.000
3.429 3.429 3.429
```

***

Record 2
Below is a geometry-optimized CsBeI3 structure, with properties calculated at the PBE-GGA level.

Output
offset from the most stable computed form: 0.00 kcal/mol of atoms

POSCAR file:
```
CsBeI3
1.0
6.838 0.000 0.000
0.000 7.523 -3.361
0.000 -0.433 9.131
Be I Cs
2 6 2
Cartesian
5.044 4.247 -0.594
1.625 2.843 6.364
0.717 4.208 -0.680
1.012 4.214 4.500
1.012 0.540 6.141
4.137 2.882 6.450
4.431 6.550 -0.371
4.431 2.877 1.270
0.971 0.972 2.176
4.390 6.118 3.594
```

***

Record 3
Below is a geometry-optimized CsBe3I structure, with properties calculated at the PBE-GGA level.

Output
offset from the most stable computed form: 7.48 kcal/mol of atoms

POSCAR file:
```
CsBe3I
1.0
-5.163 -4.157 -1.274
3.977 -3.715 -3.994
1.759 -3.806 5.291
Be Cs I
3 1 1
Cartesian
1.988 -1.857 -1.997
0.880 -1.903 2.645
-2.582 -2.079 -0.637
0.000 0.000 0.000
0.286 -5.839 0.011
```

***

| no. | formation energy from raw total energies (meV per atom) | final energy (eV per cell) | N(E_F) (states/eV per cell) |
| --- | --- | --- | --- |
| 1 | 24 | -7.72 | 4.2 |
| 2 | -979 | -28.25 | 0.0 |
| 3 | 1895 | -4.11 | 0.0 |